Run P
Cu3Ag7: relaxed, PBE-GGA.

a = 7.4761 Å, b = 7.4761 Å, c = 5.7103 Å
α = 99.32°, β = 99.32°, γ = 31.15°
With the nearest neighbours (Å) after each atom.
Fractional coordinates of all 10 atoms:
Ag (0.6933, 0.6933, 0.1036)  3 Cu 2.75-2.76, 9 Ag 2.83-3.04
Ag (0.9077, 0.9077, 0.1924)  5 Cu 2.70-2.93, 6 Ag 2.85-2.90
Ag (0.3002, 0.3002, 0.3991)  9 Ag 2.83-2.90, 3 Cu 2.87-2.89
Ag (0.5000, 0.5000, 0.5000)  6 Cu 2.81-2.86, 6 Ag 2.84-2.85
Ag (0.6998, 0.6998, 0.6009)  9 Ag 2.83-2.90, 3 Cu 2.87-2.89
Ag (0.0923, 0.0923, 0.8076)  5 Cu 2.70-2.93, 6 Ag 2.85-2.90
Ag (0.3067, 0.3067, 0.8964)  3 Cu 2.75-2.76, 9 Ag 2.83-3.04
Cu (0.5000, 0.5000, 0.0000)  8 Ag 2.74-2.86, 4 Cu 2.84
Cu (0.0979, 0.0979, 0.2966)  10 Ag 2.70-2.93, 2 Cu 2.84
Cu (0.9021, 0.9021, 0.7034)  10 Ag 2.70-2.93, 2 Cu 2.84

Results
Symmetry: No. 12

---

Run Q
Cu3Ag7: relaxed, PBE-GGA.

a = 4.0582 Å, b = 10.0739 Å, c = 10.0739 Å
α = 23.26°, β = 90.00°, γ = 90.00°
With the nearest neighbours (Å) after each atom.
Fractional coordinates of all 10 atoms:
Ag (0.5000, 0.0920, 0.0920)  4 Cu 2.74, 8 Ag 2.87-2.96
Ag (0.0000, 0.2012, 0.2012)  2 Cu 2.84, 10 Ag 2.86-2.97
Ag (0.5000, 0.3036, 0.3036)  8 Ag 2.86, 4 Cu 2.87
Ag (0.0000, 0.4054, 0.4054)  6 Cu 2.74-2.88, 6 Ag 2.86-2.87
Ag (0.0000, 0.5917, 0.5917)  4 Cu 2.74, 8 Ag 2.87-2.97
Ag (0.5000, 0.7012, 0.7012)  2 Cu 2.84, 10 Ag 2.86-2.96
Ag (0.5000, 0.9054, 0.9054)  6 Cu 2.74-2.88, 6 Ag 2.86-2.87
Cu (0.5000, 0.4986, 0.4986)  8 Ag 2.74, 4 Cu 2.87
Cu (0.0000, 0.8020, 0.8020)  12 Ag 2.84-2.88
Cu (0.0000, 0.9988, 0.9988)  8 Ag 2.74, 4 Cu 2.87

Results
Symmetry: No. 38

---

Run R
Cu3Ag7: relaxed, PBE-GGA.

a = 2.8993 Å, b = 2.8993 Å, c = 19.1861 Å
α = 90.00°, β = 90.00°, γ = 90.00°
With the nearest neighbours (Å) after each atom.
Fractional coordinates of all 10 atoms:
Ag (0.0000, 0.0000, 0.0791)  4 Cu 2.72, 8 Ag 2.90-2.95
Ag (0.5000, 0.5000, 0.1895)  12 Ag 2.90-2.95
Ag (0.0000, 0.0000, 0.2993)  12 Ag 2.90-2.95
Ag (0.5000, 0.5000, 0.4098)  4 Cu 2.72, 8 Ag 2.90-2.95
Ag (0.5000, 0.5000, 0.5970)  4 Cu 2.73, 8 Ag 2.90-2.95
Ag (0.0000, 0.0000, 0.7074)  12 Ag 2.90-2.95
Ag (0.5000, 0.5000, 0.8177)  4 Cu 2.73, 8 Ag 2.90-2.95
Cu (0.0000, 0.0000, 0.5034)  8 Ag 2.72-2.73, 4 Cu 2.90
Cu (0.0000, 0.0000, 0.9113)  4 Cu 2.50, 4 Ag 2.73
Cu (0.5000, 0.5000, 0.9856)  4 Cu 2.50, 4 Ag 2.72

Results
Symmetry: No. 99

---

Which structure loses on stability? run P does.

---

Run P
Cu3Ag7: relaxed, PBE-GGA.

a = 4.9548 Å, b = 5.7464 Å, c = 6.2037 Å
α = 76.67°, β = 76.52°, γ = 72.90°
With the nearest neighbours (Å) after each atom.
Fractional coordinates of all 10 atoms:
Ag (0.3859, 0.1042, 0.1826)  4 Cu 2.74-2.88, 8 Ag 2.78-2.99
Ag (0.3876, 0.6098, 0.1880)  4 Cu 2.73-2.86, 8 Ag 2.79-2.98
Ag (0.8017, 0.2006, 0.3878)  3 Cu 2.78-2.90, 9 Ag 2.82-2.95
Ag (0.7983, 0.7047, 0.3954)  3 Cu 2.77-2.85, 9 Ag 2.84-2.96
Ag (0.2131, 0.2880, 0.6175)  3 Cu 2.77-2.81, 9 Ag 2.82-2.98
Ag (0.1965, 0.7977, 0.6212)  4 Cu 2.69-2.83, 8 Ag 2.84-2.99
Ag (0.6223, 0.3947, 0.8030)  5 Cu 2.71-3.03, 7 Ag 2.78-2.89
Cu (0.9865, 0.5132, 0.0002)  2 Cu 2.65-2.77, 8 Ag 2.71-2.86
Cu (0.6173, 0.8931, 0.8059)  2 Cu 2.65-2.68, 9 Ag 2.74-2.90
Cu (0.9908, 0.9941, 0.9985)  4 Cu 2.68-2.99, 8 Ag 2.69-2.88

Results
Symmetry: No. 1

---

Run Q
Cu3Ag7: relaxed, PBE-GGA.

a = 9.8299 Å, b = 9.8299 Å, c = 5.8435 Å
α = 98.53°, β = 98.53°, γ = 16.97°
With the nearest neighbours (Å) after each atom.
Fractional coordinates of all 10 atoms:
Ag (0.2010, 0.2010, 0.1004)  4 Cu 2.80-2.81, 8 Ag 2.86-2.92
Ag (0.3982, 0.3982, 0.1835)  8 Ag 2.77-3.08, 4 Cu 2.79-2.80
Ag (0.8020, 0.8020, 0.4117)  2 Cu 2.83-3.02, 10 Ag 2.85-2.90
Ag (0.0034, 0.0034, 0.4819)  3 Cu 2.71-2.73, 8 Ag 2.82-2.90
Ag (0.1953, 0.1953, 0.5976)  4 Cu 2.82-2.84, 8 Ag 2.88-2.92
Ag (0.4057, 0.4057, 0.7136)  8 Ag 2.77-3.08, 4 Cu 2.81-2.87
Ag (0.5943, 0.5943, 0.8138)  3 Cu 2.70-2.74, 8 Ag 2.82-2.90
Cu (0.0036, 0.0036, 0.0190)  4 Cu 2.66-2.90, 7 Ag 2.70-2.81
Cu (0.5982, 0.5982, 0.2852)  4 Cu 2.66-2.90, 7 Ag 2.73-2.82
Cu (0.7983, 0.7983, 0.8935)  10 Ag 2.79-3.02, 2 Cu 2.90

Results
Symmetry: No. 8

---

Run R
Cu3Ag7: relaxed, PBE-GGA.

a = 7.5978 Å, b = 7.5978 Å, c = 7.8116 Å
α = 104.87°, β = 104.87°, γ = 21.84°
With the nearest neighbours (Å) after each atom.
Fractional coordinates of all 10 atoms:
Ag (0.1922, 0.1922, 0.1096)  3 Cu 2.69-2.79, 8 Ag 2.81-2.88
Ag (0.8073, 0.8073, 0.3910)  9 Ag 2.80-2.93, 3 Cu 2.82-3.10
Ag (0.0018, 0.0018, 0.4819)  4 Cu 2.71-2.74, 8 Ag 2.80-2.98
Ag (0.1984, 0.1984, 0.5862)  10 Ag 2.83-3.00, 2 Cu 2.85
Ag (0.4033, 0.4033, 0.7138)  10 Ag 2.77-2.98, 2 Cu 2.83
Ag (0.5959, 0.5959, 0.8043)  10 Ag 2.77-2.97, 2 Cu 2.88
Ag (0.8019, 0.8019, 0.9162)  3 Cu 2.73-2.84, 9 Ag 2.85-3.00
Cu (0.9988, 0.9988, 0.0198)  6 Cu 2.58-2.88, 6 Ag 2.79-2.88
Cu (0.4079, 0.4079, 0.1917)  5 Cu 2.58-2.88, 6 Ag 2.73-2.82
Cu (0.5924, 0.5924, 0.2855)  5 Cu 2.61-2.88, 6 Ag 2.69-2.85

Results
Symmetry: No. 8

---

Run S
Cu3Ag7: relaxed, PBE-GGA.

a = 22.6558 Å, b = 22.6558 Å, c = 22.6558 Å
α = 7.29°, β = 7.29°, γ = 7.29°
With the nearest neighbours (Å) after each atom.
Fractional coordinates of all 10 atoms:
Ag (0.0959, 0.0959, 0.0959)  12 Ag 2.88-2.95
Ag (0.2019, 0.2019, 0.2019)  12 Ag 2.88-2.92
Ag (0.3934, 0.3934, 0.3934)  3 Cu 2.73, 9 Ag 2.88-2.95
Ag (0.5000, 0.5000, 0.5000)  12 Ag 2.88-2.91
Ag (0.6066, 0.6066, 0.6066)  3 Cu 2.73, 9 Ag 2.88-2.95
Ag (0.7981, 0.7981, 0.7981)  12 Ag 2.88-2.92
Ag (0.9041, 0.9041, 0.9041)  12 Ag 2.88-2.95
Cu (0.0000, 0.0000, 0.0000)  6 Cu 2.52
Cu (0.3053, 0.3053, 0.3053)  3 Cu 2.52, 3 Ag 2.73
Cu (0.6947, 0.6947, 0.6947)  3 Cu 2.52, 3 Ag 2.73

Results
Symmetry: No. 166

---

Which structure loses on stability? run Q does.

---

Run P
Cu3Ag7: relaxed, PBE-GGA.

a = 10.2421 Å, b = 10.2421 Å, c = 3.9854 Å
α = 90.00°, β = 90.00°, γ = 157.09°
With the nearest neighbours (Å) after each atom.
Fractional coordinates of all 10 atoms:
Ag (0.8040, 0.1960, 0.0000)  10 Ag 2.85-2.97, 2 Cu 2.87
Ag (0.1960, 0.8040, 0.0000)  10 Ag 2.85-2.97, 2 Cu 2.87
Ag (0.9056, 0.0944, 0.5000)  6 Cu 2.75-2.85, 6 Ag 2.78-2.88
Ag (0.6957, 0.3043, 0.5000)  2 Cu 2.84, 10 Ag 2.85-2.98
Ag (0.5000, 0.5000, 0.5000)  8 Cu 2.76-2.85, 4 Ag 2.78
Ag (0.3043, 0.6957, 0.5000)  2 Cu 2.84, 10 Ag 2.85-2.98
Ag (0.0944, 0.9056, 0.5000)  6 Cu 2.75-2.85, 6 Ag 2.78-2.88
Cu (0.0000, 0.0000, 0.0000)  8 Ag 2.75-2.85, 4 Cu 2.79
Cu (0.5949, 0.4051, 0.0000)  10 Ag 2.76-2.87, 2 Cu 2.79
Cu (0.4051, 0.5949, 0.0000)  10 Ag 2.76-2.87, 2 Cu 2.79

Results
Symmetry: No. 65

---

Run Q
Cu3Ag7: relaxed, PBE-GGA.

a = 6.2446 Å, b = 4.0500 Å, c = 6.4345 Å
α = 90.00°, β = 91.43°, γ = 90.00°
With the nearest neighbours (Å) after each atom.
Fractional coordinates of all 10 atoms:
Ag (0.7799, 0.0000, 0.0890)  4 Cu 2.73-2.77, 8 Ag 2.85-3.00
Ag (0.1162, 0.5000, 0.2023)  3 Cu 2.76-2.78, 9 Ag 2.85-2.99
Ag (0.6877, 0.5000, 0.3895)  5 Cu 2.73-2.88, 7 Ag 2.77-2.96
Ag (0.0000, 0.0000, 0.5000)  2 Cu 2.84, 10 Ag 2.89-2.95
Ag (0.3123, 0.5000, 0.6105)  5 Cu 2.73-2.88, 7 Ag 2.77-2.96
Ag (0.8838, 0.5000, 0.7977)  3 Cu 2.76-2.78, 9 Ag 2.85-2.99
Ag (0.2201, 0.0000, 0.9110)  4 Cu 2.73-2.77, 8 Ag 2.85-3.00
Cu (0.5000, 0.5000, 0.0000)  8 Ag 2.73-2.76, 4 Cu 2.90
Cu (0.4040, 0.0000, 0.3071)  3 Cu 2.73-2.90, 9 Ag 2.73-2.88
Cu (0.5960, 0.0000, 0.6929)  3 Cu 2.73-2.90, 9 Ag 2.73-2.88

Results
Symmetry: No. 10

---

Run R
Cu3Ag7: relaxed, PBE-GGA.

a = 4.9265 Å, b = 4.9452 Å, c = 7.5408 Å
α = 108.99°, β = 102.38°, γ = 99.67°
With the nearest neighbours (Å) after each atom.
Fractional coordinates of all 10 atoms:
Ag (0.2862, 0.5916, 0.0909)  4 Cu 2.75-2.88, 8 Ag 2.75-2.99
Ag (0.6005, 0.2024, 0.1944)  8 Ag 2.81-2.92, 4 Cu 2.83-2.94
Ag (0.8966, 0.7949, 0.2932)  3 Cu 2.81-2.93, 9 Ag 2.82-2.95
Ag (0.2008, 0.4002, 0.4011)  9 Ag 2.86-2.91, 3 Cu 2.87-2.92
Ag (0.5120, 0.0105, 0.5095)  9 Ag 2.77-2.99, 3 Cu 2.79-2.86
Ag (0.0927, 0.1978, 0.7076)  7 Ag 2.75-2.95, 5 Cu 2.76-2.90
Ag (0.4113, 0.8027, 0.8031)  6 Cu 2.75-2.88, 6 Ag 2.81-2.91
Cu (0.8025, 0.6026, 0.6091)  2 Cu 2.75-2.76, 10 Ag 2.78-2.94
Cu (0.7070, 0.4057, 0.8986)  9 Ag 2.75-2.90, 3 Cu 2.76-2.85
Cu (0.9905, 0.9917, 0.9924)  9 Ag 2.75-2.92, 3 Cu 2.75-2.85

Results
Symmetry: No. 1

---

Run S
Cu3Ag7: relaxed, PBE-GGA.

a = 2.8886 Å, b = 2.8886 Å, c = 19.3245 Å
α = 90.00°, β = 90.00°, γ = 90.00°
With the nearest neighbours (Å) after each atom.
Fractional coordinates of all 10 atoms:
Ag (0.0000, 0.0000, 0.0000)  12 Ag 2.89-2.94
Ag (0.5000, 0.5000, 0.1095)  4 Cu 2.72, 8 Ag 2.89-2.94
Ag (0.5000, 0.5000, 0.2955)  4 Cu 2.72, 8 Ag 2.89-2.96
Ag (0.0000, 0.0000, 0.4063)  4 Cu 2.73, 8 Ag 2.89-2.96
Ag (0.0000, 0.0000, 0.5937)  4 Cu 2.73, 8 Ag 2.89-2.96
Ag (0.5000, 0.5000, 0.7045)  4 Cu 2.72, 8 Ag 2.89-2.96
Ag (0.5000, 0.5000, 0.8905)  4 Cu 2.72, 8 Ag 2.89-2.94
Cu (0.0000, 0.0000, 0.2024)  8 Ag 2.72, 4 Cu 2.89
Cu (0.5000, 0.5000, 0.5000)  8 Ag 2.73, 4 Cu 2.89
Cu (0.0000, 0.0000, 0.7976)  8 Ag 2.72, 4 Cu 2.89

Results
Symmetry: No. 123

---

Which structure loses on stability? run R does.

---

Run P
Cu3Ag7: relaxed, PBE-GGA.

a = 7.6340 Å, b = 7.6340 Å, c = 7.7855 Å
α = 104.80°, β = 104.80°, γ = 21.78°
With the nearest neighbours (Å) after each atom.
Fractional coordinates of all 10 atoms:
Ag (0.1921, 0.1921, 0.1092)  3 Cu 2.72-2.75, 8 Ag 2.84-2.94
Ag (0.4094, 0.4094, 0.2029)  5 Cu 2.65-2.74, 6 Ag 2.86-2.88
Ag (0.8044, 0.8044, 0.4006)  10 Ag 2.84-2.88, 2 Cu 2.90-3.07
Ag (0.1929, 0.1929, 0.5831)  3 Cu 2.73-2.76, 8 Ag 2.85-2.95
Ag (0.4061, 0.4061, 0.7053)  7 Ag 2.74-2.88, 4 Cu 2.84-2.87
Ag (0.5953, 0.5953, 0.7973)  8 Ag 2.74-2.95, 4 Cu 2.81
Ag (0.7994, 0.7994, 0.9015)  11 Ag 2.87-2.95, 1 Cu 2.96
Cu (0.0039, 0.0039, 0.0111)  4 Cu 2.69-2.88, 8 Ag 2.72-2.96
Cu (0.5922, 0.5922, 0.2962)  5 Ag 2.65-2.76, 6 Cu 2.68-2.88
Cu (0.0044, 0.0044, 0.4927)  4 Cu 2.68-2.88, 8 Ag 2.73-2.90

Results
Symmetry: No. 8

---

Run Q
Cu3Ag7: relaxed, PBE-GGA.

a = 7.5159 Å, b = 7.5159 Å, c = 5.7404 Å
α = 100.42°, β = 100.42°, γ = 30.80°
With the nearest neighbours (Å) after each atom.
Fractional coordinates of all 10 atoms:
Ag (0.3967, 0.3967, 0.2008)  5 Cu 2.80-2.88, 7 Ag 2.81-2.93
Ag (0.6027, 0.6027, 0.2906)  5 Cu 2.76-2.81, 7 Ag 2.76-2.98
Ag (0.9976, 0.9976, 0.4958)  9 Ag 2.83-2.93, 3 Cu 2.84-2.90
Ag (0.2032, 0.2032, 0.5920)  4 Cu 2.78-2.96, 8 Ag 2.81-2.93
Ag (0.4005, 0.4005, 0.7036)  8 Ag 2.81-2.88, 4 Cu 2.86-2.91
Ag (0.6002, 0.6002, 0.8081)  8 Ag 2.76-2.98, 4 Cu 2.79-2.84
Ag (0.7989, 0.7989, 0.9091)  5 Cu 2.77-2.97, 7 Ag 2.81-2.88
Cu (0.0034, 0.0034, 0.0033)  11 Ag 2.79-2.91, 1 Cu 2.80
Cu (0.2002, 0.2002, 0.1058)  9 Ag 2.77-2.96, 3 Cu 2.78-2.80
Cu (0.7967, 0.7967, 0.3908)  10 Ag 2.76-2.97, 2 Cu 2.78

Results
Symmetry: No. 8

---

Which structure loses on stability? run Q does.